--- 1 ---
Ca2SnI (PBE-GGA, optimized geometry); DOS(E_F) = 1.502 states/eV per cell; calculated density = 3.90 Mg/m³
1.0
-2.237 -3.797 -0.289
0.020 -2.838 3.384
-7.377 1.462 4.152
Sn Ca I
1 2 1
Direct
0.000 0.000 0.000 Sn
0.259 0.259 0.223 Ca
0.741 0.741 0.777 Ca
0.500 0.500 0.500 I

---

--- 2 ---
Ca2SnI (PBE-GGA, optimized geometry); DOS(E_F) = 1.271 states/eV per cell; calculated density = 4.27 Mg/m³
1.0
3.843 0.000 0.000
0.000 3.843 0.000
0.000 0.000 8.584
Ca I Sn
2 1 1
Direct
0.000 0.000 0.222 Ca
0.000 0.000 0.778 Ca
0.500 0.500 0.500 I
0.500 0.500 0.000 Sn

---

Which structure loses on stability? 2 does.

---

--- 1 ---
CaSn3I (PBE-GGA, optimized geometry); DOS(E_F) = 9.412 states/eV per cell; calculated density = 4.08 Mg/m³
1.0
5.970 0.000 0.000
0.000 5.970 0.000
0.000 0.000 5.970
I Ca Sn
1 1 3
Direct
0.500 0.500 0.500 I
0.000 0.000 0.000 Ca
0.000 0.500 0.000 Sn
0.500 0.000 0.000 Sn
0.000 0.000 0.500 Sn

---

--- 2 ---
CaSn3I (PBE-GGA, optimized geometry); DOS(E_F) = 4.942 states/eV per cell; calculated density = 4.33 Mg/m³
1.0
5.854 0.000 0.000
0.000 5.854 0.000
0.000 0.000 5.854
I Sn Ca
1 3 1
Direct
0.000 0.000 0.000 I
0.500 0.000 0.000 Sn
0.000 0.500 0.000 Sn
0.000 0.000 0.500 Sn
0.500 0.500 0.500 Ca

---

Which structure loses on stability? 1 does.

---

--- 1 ---
SrCaI2 (PBE-GGA, optimized geometry); DOS(E_F) = 3.589 states/eV per cell; calculated density = 3.09 Mg/m³
1.0
7.435 0.000 0.000
0.000 7.435 0.000
3.717 3.717 7.426
I Ca Sr
4 2 2
Direct
0.375 0.399 0.750 I
0.601 0.125 0.250 I
0.149 0.625 0.250 I
0.875 0.851 0.750 I
0.500 0.500 0.000 Ca
0.250 0.750 0.500 Ca
0.750 0.250 0.500 Sr
0.000 0.000 0.000 Sr

---

--- 2 ---
SrCaI2 (PBE-GGA, optimized geometry); DOS(E_F) = 1.959 states/eV per cell; calculated density = 3.52 Mg/m³
1.0
4.378 0.000 0.000
2.189 3.791 0.000
2.189 1.264 10.830
Sr Ca I
1 1 2
Direct
0.499 0.499 0.504 Sr
0.667 0.667 0.999 Ca
0.276 0.276 0.173 I
0.058 0.058 0.825 I

---

--- 3 ---
SrCaI2 (PBE-GGA, optimized geometry); DOS(E_F) = 2.674 states/eV per cell; calculated density = 3.36 Mg/m³
1.0
4.429 0.000 0.000
2.214 3.835 0.000
2.214 1.278 11.106
I Ca Sr
2 1 1
Direct
0.889 0.889 0.334 I
0.111 0.111 0.666 I
0.500 0.500 0.500 Ca
0.000 0.000 0.000 Sr

---

--- 4 ---
SrCaI2 (PBE-GGA, optimized geometry); DOS(E_F) = 4.402 states/eV per cell; calculated density = 4.65 Mg/m³
1.0
2.149 0.676 5.317
1.595 5.241 1.824
-3.101 2.718 4.043
Sr Ca I
1 1 2
Direct
0.500 0.500 0.500 Sr
0.000 0.000 0.000 Ca
0.250 0.250 0.250 I
0.750 0.750 0.750 I

---

Which structure loses on stability? 1 does.

---

--- 1 ---
SrCaI3 (PBE-GGA, optimized geometry); DOS(E_F) = 2.692 states/eV per cell; calculated density = 3.66 Mg/m³
1.0
-4.469 2.318 -3.499
-3.458 -4.930 1.150
-2.379 2.812 4.901
I Sr Ca
3 1 1
Direct
0.500 0.000 0.000 I
0.000 0.500 0.000 I
0.000 0.000 0.500 I
0.500 0.500 0.500 Sr
0.000 0.000 0.000 Ca

---

--- 2 ---
SrCaI3 (PBE-GGA, optimized geometry); DOS(E_F) = 1.532 states/eV per cell; calculated density = 3.26 Mg/m³
1.0
-4.479 4.283 1.490
0.308 -1.803 6.106
4.524 4.363 1.060
Sr I Ca
1 3 1
Direct
0.000 0.000 0.000 Sr
0.000 0.000 0.500 I
0.500 0.000 0.000 I
0.000 0.500 0.000 I
0.500 0.500 0.500 Ca

---

Which structure loses on stability? 2 does.